# CaVO3 GGA+U optimized geometry
# calculated volume	10.933	Å³/atom
# electronic total energy	-72.1	eV for the cell shown
# spin magnetization	1.00	μB/f.u.
data_CaVO3
_chemical_formula_sum 'Ca2 V2 O6'
_symmetry_space_group_name_H-M 'P m m n'
_symmetry_Int_Tables_number 59
_cell_length_a 3.221
_cell_length_b 5.134
_cell_length_c 6.612
_cell_angle_alpha 90.00
_cell_angle_beta 90.00
_cell_angle_gamma 90.00
loop_
_symmetry_equiv_pos_as_xyz
'x,y,z'
'-x,-y,-z'
'-x+1/2,-y+1/2,z'
'x+1/2,y+1/2,-z'
'x+1/2,-y,-z'
'-x+1/2,y,z'
'-x,y+1/2,-z'
'x,-y+1/2,z'
loop_
_atom_site_label
_atom_site_fract_x
_atom_site_fract_y
_atom_site_fract_z
_atom_site_occupancy
Ca1 0.250 0.250 0.139 1
V1 0.250 0.750 0.392 1
O1 0.250 0.509 0.642 1
O2 0.250 0.750 0.109 1